Here is crystalline Sc8Hg2Os at its relaxed geometry from Alexandria. Energies are from GGA-PBE.

raw total energy: -65.40 eV/cell
D(E_F): 0.969 states/eV/atom
DFT formation energy: -2.91 eV per formula unit

Lattice parameters (Å, degrees): 5.0025 6.5460 8.4831 112.70 107.15 90.00
Site moments in Bohr magnetons follow the coordinates.
Element x y z (fractional)
Sc (0.6312, 0.8700, 0.2625)  0.09
Sc (0.3687, 0.6076, 0.7374)  0.09
Sc (0.1875, 0.1874, 0.3751)  0.17
Sc (0.0000, 0.2409, 0.0001)  0.06
Sc (0.8125, 0.8126, 0.6249)  0.17
Sc (0.6313, 0.3924, 0.2626)  0.09
Sc (0.3688, 0.1300, 0.7375)  0.09
Sc (0.0000, 0.7591, 0.9999)  0.06
Hg (0.1851, 0.6851, 0.3702)  0.00
Hg (0.8149, 0.3149, 0.6298)  0.00
Os (0.5000, 0.0000, 0.0000)  -0.03